# Mg3CuNi9P2

A geometry-optimized Mg3CuNi9P2 structure (PBE-GGA, Alexandria via LeMat-Bulk).

Properties
Theoretical density in Mg/m³: 5.22
E_tot in eV/atom: -4.86

a = 5.6882 Å, b = 5.6882 Å, c = 8.2458 Å
α = 90.00°, β = 90.00°, γ = 120.00°
Last column: nearest neighbours and their distance in Å.
Space group P-3m1 (No. 164)
Asymmetric unit:
1 Mg 0.0000 0.0000 0.0000  12 Ni 2.57-2.84
2 Mg 0.3333 0.6667 0.7113  9 Ni 2.86-2.89
3 Cu 0.0000 0.0000 0.5000  6 Ni 2.38
4 Ni 0.0000 0.5000 0.0000  2 P 2.17
5 Ni 0.1393 0.2786 0.2642  1 P 2.06
6 P 0.3333 0.6667 0.1720  6 Ni 2.06-2.17


# MgPaCuNi

A geometry-optimized MgPaCuNi structure (PBE-GGA, Alexandria via LeMat-Bulk).

Properties
Theoretical density in Mg/m³: 8.85
E_tot in eV/atom: -5.33

a = 6.5678 Å, b = 6.5678 Å, c = 6.5678 Å
α = 90.00°, β = 90.00°, γ = 90.00°
Last column: nearest neighbours and their distance in Å.
Space group F-43m (No. 216)
Asymmetric unit:
1 Mg 0.0000 0.0000 0.0000  4 Ni 2.84, 4 Cu 2.84
2 Pa 0.0000 0.0000 0.5000  4 Ni 2.84, 4 Cu 2.84
3 Cu 0.2500 0.2500 0.7500  4 Pa 2.84, 4 Mg 2.84
4 Ni 0.2500 0.2500 0.2500  4 Pa 2.84, 4 Mg 2.84


# PmMgCuNi

A geometry-optimized PmMgCuNi structure (PBE-GGA, Alexandria via LeMat-Bulk).

Properties
Theoretical density in Mg/m³: 6.49
E_tot in eV/atom: -4.23

a = 6.6817 Å, b = 6.6817 Å, c = 6.6817 Å
α = 90.00°, β = 90.00°, γ = 90.00°
Last column: nearest neighbours and their distance in Å.
Space group F-43m (No. 216)
Asymmetric unit:
1 Pm 0.0000 0.0000 0.0000  4 Cu 2.89, 4 Ni 2.89
2 Mg 0.0000 0.0000 0.5000  4 Ni 2.89, 4 Cu 2.89
3 Cu 0.2500 0.2500 0.2500  4 Mg 2.89, 4 Pm 2.89
4 Ni 0.2500 0.2500 0.7500  4 Pm 2.89, 4 Mg 2.89


# Pr2MgCu12Ni3

A geometry-optimized Pr2MgCu12Ni3 structure (PBE-GGA, Alexandria via LeMat-Bulk).

Properties
Theoretical density in Mg/m³: 7.82
E_tot in eV/atom: -4.23

a = 8.5762 Å, b = 8.5762 Å, c = 12.4550 Å
α = 90.00°, β = 90.00°, γ = 120.00°
Last column: nearest neighbours and their distance in Å.
Space group R-3m (No. 166, hexagonal axes)
Asymmetric unit:
1 Pr 0.0000 0.0000 0.2426  3 Ni 2.72, 6 Cu 2.87-2.95
2 Mg 0.0000 0.0000 0.5000  6 Cu 2.44
3 Cu 0.0123 0.5061 0.2070  5 Cu 2.42-2.59, 1 Mg 2.44, 1 Ni 2.58
4 Cu 0.0499 0.5250 0.6026  6 Cu 2.42-2.66
5 Ni 0.0000 0.5000 0.0000  6 Cu 2.58-2.80, 2 Pr 2.72


# Pr2MgCu3Ni12

A geometry-optimized Pr2MgCu3Ni12 structure (PBE-GGA, Alexandria via LeMat-Bulk).

Properties
Theoretical density in Mg/m³: 7.95
E_tot in eV/atom: -5.08

a = 8.4576 Å, b = 8.4576 Å, c = 12.1545 Å
α = 90.00°, β = 90.00°, γ = 120.00°
Last column: nearest neighbours and their distance in Å.
Space group R-3m (No. 166, hexagonal axes)
Asymmetric unit:
1 Pr 0.0000 0.0000 0.2110  9 Ni 2.73-2.84, 3 Cu 2.86
2 Mg 0.0000 0.0000 0.5000  6 Ni 2.40
3 Cu 0.0000 0.5000 0.0000  6 Ni 2.50-2.69
4 Ni 0.0124 0.5062 0.2054  5 Ni 2.31-2.53, 1 Mg 2.40, 1 Cu 2.50
5 Ni 0.0382 0.5191 0.6066  3 Ni 2.31-2.51


# Rb2MgCuNi

A geometry-optimized Rb2MgCuNi structure (PBE-GGA, Alexandria via LeMat-Bulk).

Properties
Theoretical density in Mg/m³: 2.79
E_tot in eV/atom: -2.04

a = 6.3898 Å, b = 6.3898 Å, c = 4.6325 Å
α = 90.00°, β = 90.00°, γ = 90.00°
Last column: nearest neighbours and their distance in Å.
Space group P4/mmm (No. 123)
Asymmetric unit:
1 Rb 0.0000 0.5000 0.0000  2 Ni 3.19
2 Mg 0.0000 0.0000 0.5000  8 Rb 3.95
3 Cu 0.5000 0.5000 0.5000  2 Ni 2.32
4 Ni 0.5000 0.5000 0.0000  2 Cu 2.32


# MgCuNiRh2

A geometry-optimized MgCuNiRh2 structure (PBE-GGA, Alexandria via LeMat-Bulk).

Properties
Theoretical density in Mg/m³: 6.71
E_tot in eV/atom: -3.97

a = 4.4980 Å, b = 4.4980 Å, c = 4.3115 Å
α = 90.00°, β = 90.00°, γ = 90.00°
Last column: nearest neighbours and their distance in Å.
Space group P4/mmm (No. 123)
Asymmetric unit:
1 Mg 0.0000 0.0000 0.0000  2 Cu 2.16, 4 Rh 2.25
2 Cu 0.0000 0.0000 0.5000  2 Mg 2.16
3 Ni 0.5000 0.5000 0.5000  8 Rh 3.12, 4 Cu 3.18
4 Rh 0.0000 0.5000 0.0000  2 Mg 2.25


# MgCuNi2Rh

A geometry-optimized MgCuNi2Rh structure (PBE-GGA, Alexandria via LeMat-Bulk).

Properties
Theoretical density in Mg/m³: 6.56
E_tot in eV/atom: -3.69

a = 4.2485 Å, b = 4.2485 Å, c = 4.3214 Å
α = 90.00°, β = 90.00°, γ = 90.00°
Last column: nearest neighbours and their distance in Å.
Space group P4/mmm (No. 123)
Asymmetric unit:
1 Mg 0.0000 0.0000 0.0000  4 Ni 2.12, 2 Cu 2.16
2 Cu 0.0000 0.0000 0.5000  2 Mg 2.16
3 Ni 0.0000 0.5000 0.0000  2 Mg 2.12
4 Rh 0.5000 0.5000 0.5000  4 Cu 3.00, 8 Ni 3.03


# Mg2Sc5CuNi2

A geometry-optimized Mg2Sc5CuNi2 structure (PBE-GGA, Alexandria via LeMat-Bulk).

Properties
Theoretical density in Mg/m³: 3.82
E_tot in eV/atom: -5.33

a = 10.8971 Å, b = 10.8971 Å, c = 3.3231 Å
α = 90.00°, β = 90.00°, γ = 90.00°
Last column: nearest neighbours and their distance in Å.
Space group P4/mbm (No. 127)
Asymmetric unit:
1 Mg 0.1747 0.3253 0.0000  1 Ni 2.98, 6 Sc 3.16-3.26, 2 Mg 3.32
2 Sc 0.0000 0.5000 0.5000  4 Ni 2.62
3 Sc 0.0694 0.8000 0.5000  2 Ni 2.57, 2 Cu 2.84
4 Cu 0.0000 0.0000 0.0000  8 Sc 2.84
5 Ni 0.1317 0.6317 0.0000  6 Sc 2.57-2.62


# MgScCuNi

A geometry-optimized MgScCuNi structure (PBE-GGA, Alexandria via LeMat-Bulk).

Properties
Theoretical density in Mg/m³: 5.07
E_tot in eV/atom: -4.73

a = 6.3081 Å, b = 6.3081 Å, c = 6.3081 Å
α = 90.00°, β = 90.00°, γ = 90.00°
Last column: nearest neighbours and their distance in Å.
Space group F-43m (No. 216)
Asymmetric unit:
1 Mg 0.0000 0.0000 0.0000  4 Ni 2.73, 4 Cu 2.73
2 Sc 0.0000 0.0000 0.5000  4 Cu 2.73, 4 Ni 2.73
3 Cu 0.2500 0.2500 0.7500  4 Mg 2.73, 4 Sc 2.73
4 Ni 0.2500 0.2500 0.2500  4 Mg 2.73, 4 Sc 2.73


# MgCu3NiSe4

A geometry-optimized MgCu3NiSe4 structure (PBE-GGA, Alexandria via LeMat-Bulk).

Properties
Raw formation energy in eV per atom: -0.297
Theoretical density in Mg/m³: 5.23
E_tot in eV/atom: -4.03

a = 5.7188 Å, b = 5.7188 Å, c = 5.7188 Å
α = 90.00°, β = 90.00°, γ = 90.00°
Last column: nearest neighbours and their distance in Å.
Space group P-43m (No. 215)
Asymmetric unit:
1 Mg 0.0000 0.0000 0.0000  4 Se 2.57
2 Cu 0.0000 0.5000 0.5000  4 Se 2.45
3 Ni 0.5000 0.5000 0.5000  4 Se 2.39
4 Se 0.2592 0.2592 0.7408  1 Ni 2.39, 3 Cu 2.45, 1 Mg 2.57


# Mg2Cu5Si2Ni

A geometry-optimized Mg2Cu5Si2Ni structure (PBE-GGA, Alexandria via LeMat-Bulk).

Properties
Raw formation energy in eV per atom: -0.027
Theoretical density in Mg/m³: 5.71
E_tot in eV/atom: -4.06

a = 8.9420 Å, b = 8.9420 Å, c = 3.4973 Å
α = 90.00°, β = 90.00°, γ = 90.00°
Last column: nearest neighbours and their distance in Å.
Space group P4/mbm (No. 127)
Asymmetric unit:
1 Mg 0.1743 0.3257 0.0000  3 Si 2.53-2.71, 2 Cu 2.81
2 Cu 0.0000 0.5000 0.5000  4 Si 2.36
3 Cu 0.0560 0.8015 0.5000  2 Si 2.43, 2 Ni 2.54, 2 Cu 2.61
4 Si 0.1254 0.6254 0.0000  6 Cu 2.36-2.43, 1 Mg 2.53
5 Ni 0.0000 0.0000 0.0000  8 Cu 2.54